Entry 1:
In2GeP2 after structural relaxation. Source: Alexandria, functional PBE.

Unit cell a=7.468 b=7.468 c=3.753 alpha=90.00 beta=90.00 gamma=90.00
Fractional positions:
P 0.331 0.831 0.000
P 0.831 0.669 0.000
P 0.669 0.169 0.000
P 0.169 0.331 0.000
Ge 0.000 0.000 0.000
Ge 0.500 0.500 0.000
In 0.147 0.647 0.500
In 0.647 0.853 0.500
In 0.853 0.353 0.500
In 0.353 0.147 0.500

The value obtained for the relative energy among the computed polymorphs is 0 meV per atom. The energy relative to the elements comes out at 0.228 eV/atom. As for the symmetry: P4/mbm, No. 127. As for the total energy: -39.55 eV/cell. The calculation puts the density of states at the Fermi level at 1.91 states/eV/f.u.

---

Entry 2:
BaSr2TlIr after structural relaxation. Source: Alexandria, functional PBE.

Unit cell a=5.835 b=5.835 c=6.068 alpha=90.00 beta=90.00 gamma=90.00
Fractional positions:
Sr 0.000 0.500 0.000
Sr 0.500 0.000 0.000
Tl 0.500 0.500 0.500
Ir 0.000 0.000 0.000
Ba 0.000 0.000 0.500

The value obtained for the relative energy among the computed polymorphs is 0 meV per atom. The energy relative to the elements comes out at -0.152 eV/atom. As for the symmetry: P4/mmm, No. 123. As for the total energy: -17.27 eV/cell. The calculation puts the density of states at the Fermi level at 3.77 states/eV/f.u.

---

Entry 3:
Li2TlTc after structural relaxation. Source: Alexandria, functional PBE.

Unit cell a=4.763 b=2.864 c=4.999 alpha=87.11 beta=90.00 gamma=90.00
Fractional positions:
Li 0.000 0.974 0.036
Li 0.000 0.526 0.464
Tc 0.500 0.250 0.250
Tl 0.500 0.750 0.750

The value obtained for the relative energy among the computed polymorphs is 5 meV per atom. The energy relative to the elements comes out at 0.285 eV/atom. As for the symmetry: P2/m, No. 10. As for the total energy: -15.42 eV/cell. The calculation puts the density of states at the Fermi level at 1.95 states/eV/f.u.

---

Entry 4:
ErThGeSe after structural relaxation. Source: Alexandria, functional PBE.

Unit cell a=4.210 b=4.210 c=7.180 alpha=72.95 beta=72.95 gamma=60.00
Fractional positions:
Er 0.440 0.440 0.679
Th 0.948 0.948 0.155
Ge 0.698 0.698 0.907
Se 0.190 0.190 0.430

The uncorrected formation energy comes out at -1.284 eV/atom. As for the symmetry: R3m, No. 160. As for the total energy: -25.22 eV/cell. The calculation puts the density of states at the Fermi level at 1.98 states/eV/f.u.

---

Entry 5:
ZnCd after structural relaxation. Source: Alexandria, functional PBE.

Unit cell a=3.069 b=3.069 c=5.063 alpha=90.00 beta=90.00 gamma=124.72
Fractional positions:
Zn 0.500 0.500 0.500
Cd 0.000 0.000 0.000

The energy relative to the elements comes out at 0.093 eV/atom. As for the symmetry: Cmmm, No. 65. As for the total energy: -2.00 eV/cell. The calculation puts the density of states at the Fermi level at 0.35 states/eV/f.u.

---

Entry 6:
TbHfHg2 after structural relaxation. Source: Alexandria, functional PBE.

Unit cell a=3.591 b=3.591 c=7.277 alpha=90.00 beta=90.00 gamma=90.00
Fractional positions:
Tb 0.500 0.500 0.500
Hf 0.500 0.500 0.000
Hg 0.000 0.000 0.771
Hg 0.000 0.000 0.229

The value obtained for the relative energy among the computed polymorphs is 0 meV per atom. The energy relative to the elements comes out at -0.200 eV/atom. As for the symmetry: P4/mmm, No. 123. As for the total energy: -15.99 eV/cell. The calculation puts the density of states at the Fermi level at 3.89 states/eV/f.u.

---

Entry 7:
AcMg4Si2 after structural relaxation. Source: Alexandria, functional PBE.

Unit cell a=4.432 b=4.415 c=8.425 alpha=105.19 beta=90.00 gamma=90.00
Fractional positions:
Ac 0.000 0.000 0.000
Mg 0.500 0.823 0.646
Mg 0.000 0.679 0.358
Mg 0.500 0.177 0.354
Mg 0.000 0.321 0.642
Si 0.500 0.575 0.151
Si 0.500 0.425 0.849

The uncorrected formation energy comes out at -0.314 eV/atom. As for the symmetry: Cmmm, No. 65. As for the total energy: -23.53 eV/cell. The calculation puts the density of states at the Fermi level at 1.93 states/eV/f.u.

---

Entry 8:
Sm4CoPBr2 after structural relaxation. Source: Alexandria, functional PBE.

Unit cell a=3.947 b=7.351 c=7.734 alpha=106.93 beta=90.00 gamma=90.00
Fractional positions:
Sm 0.500 0.243 0.201
Sm 0.500 0.757 0.799
Sm 0.000 0.290 0.810
Sm 0.000 0.710 0.190
Co 0.500 0.500 0.000
P 0.000 0.000 0.000
Br 0.500 0.000 0.500
Br 0.000 0.500 0.500

The uncorrected formation energy comes out at -1.070 eV/atom. As for the symmetry: P2/m, No. 10. As for the total energy: -43.30 eV/cell. The calculation puts the density of states at the Fermi level at 4.63 states/eV/f.u.

---

Entry 9:
RbLaZn2Cr after structural relaxation. Source: Alexandria, functional PBE.

Unit cell a=5.224 b=5.033 c=5.224 alpha=90.00 beta=90.00 gamma=90.00
Fractional positions:
Cr 0.000 0.000 0.000
Zn 0.000 0.000 0.500
Zn 0.500 0.000 0.000
Rb 0.500 0.500 0.500
La 0.000 0.500 0.000

The energy relative to the elements comes out at 0.378 eV/atom. As for the symmetry: P4/mmm, No. 123. As for the total energy: -16.18 eV/cell. The calculation puts the density of states at the Fermi level at 3.45 states/eV/f.u.

---

Entry 10:
PrDyAg2Te4 after structural relaxation. Source: Alexandria, functional PBE.

Unit cell a=7.556 b=6.978 c=6.978 alpha=65.87 beta=57.22 gamma=57.22
Fractional positions:
Pr 0.000 0.000 0.000
Dy 0.500 0.500 0.500
Ag 0.157 0.343 0.343
Ag 0.843 0.657 0.657
Te 0.441 0.080 0.576
Te 0.098 0.920 0.424
Te 0.902 0.576 0.080
Te 0.559 0.424 0.920

The uncorrected formation energy comes out at -0.731 eV/atom. As for the symmetry: I222, No. 23. As for the total energy: -33.50 eV/cell. The calculation puts the density of states at the Fermi level at 0.95 states/eV/f.u.

---

Entry 11:
CePd8Au2 after structural relaxation. Source: Alexandria, functional PBE.

Unit cell a=4.063 b=7.776 c=7.570 alpha=120.91 beta=105.57 gamma=90.00
Fractional positions:
Ce 0.500 0.000 0.000
Pd 0.665 0.911 0.331
Pd 0.335 0.581 0.669
Pd 0.165 0.165 0.330
Pd 0.000 0.267 0.000
Pd 0.835 0.835 0.670
Pd 0.665 0.419 0.331
Pd 0.335 0.089 0.669
Pd 0.000 0.733 0.000
Au 0.170 0.670 0.339
Au 0.830 0.330 0.661

The value obtained for the relative energy among the computed polymorphs is 0 meV per atom. The energy relative to the elements comes out at -0.282 eV/atom. As for the symmetry: Immm, No. 71. As for the total energy: -57.13 eV/cell. The calculation puts the density of states at the Fermi level at 7.73 states/eV/f.u.

---

Entry 12:
Sm2Y8In after structural relaxation. Source: Alexandria, functional PBE.

Unit cell a=5.573 b=6.503 c=10.135 alpha=94.55 beta=105.96 gamma=90.00
Fractional positions:
Sm 0.757 0.664 0.514
Sm 0.243 0.336 0.486
Y 0.422 0.402 0.844
Y 0.661 0.123 0.322
Y 0.847 0.191 0.694
Y 0.956 0.737 0.912
Y 0.153 0.809 0.306
Y 0.339 0.877 0.678
Y 0.578 0.598 0.156
Y 0.044 0.263 0.088
In 0.500 0.000 0.000

The value obtained for the relative energy among the computed polymorphs is 0 meV per atom. The energy relative to the elements comes out at -0.063 eV/atom. As for the symmetry: C2/m, No. 12. As for the total energy: -64.58 eV/cell. The calculation puts the density of states at the Fermi level at 16.16 states/eV/f.u.